one:
{"formula": "MgMn2Rh2", "functional": "PBE", "state": "relaxed", "magnetic_moment_mub_per_cell": 15.82, "rho_g_cm3": 7.22, "space_group": "No. 127", "cell": [[-3.372, 4.501, -4.570], [-4.636, -5.278, -1.777], [-1.823, 0.862, 2.194]], "species": ["Rh", "Rh", "Rh", "Rh", "Mg", "Mg", "Mn", "Mn", "Mn", "Mn"], "frac_coords": [[0.856, 0.644, 0.000], [0.144, 0.356, 0.000], [0.644, 0.144, 0.000], [0.356, 0.856, 0.000], [0.500, 0.500, 0.000], [0.000, 0.000, 0.000], [0.348, 0.152, 0.500], [0.848, 0.348, 0.500], [0.652, 0.848, 0.500], [0.152, 0.652, 0.500]]}

---

two:
{"formula": "MgMn2Rh2", "functional": "PBE", "state": "relaxed", "magnetic_moment_mub_per_cell": 0.00, "rho_g_cm3": 8.10, "space_group": "No. 127", "cell": [[7.180, 0.000, 0.000], [0.000, 7.180, 0.000], [0.000, 0.000, 2.704]], "species": ["Mn", "Mn", "Mn", "Mn", "Mg", "Mg", "Rh", "Rh", "Rh", "Rh"], "frac_coords": [[0.392, 0.892, 0.000], [0.892, 0.608, 0.000], [0.108, 0.392, 0.000], [0.608, 0.108, 0.000], [0.500, 0.500, 0.000], [0.000, 0.000, 0.000], [0.818, 0.318, 0.500], [0.682, 0.818, 0.500], [0.318, 0.182, 0.500], [0.182, 0.682, 0.500]]}

---

Q: Which of them is the least stable? A: two.

---

one:
{"formula": "MgMnRh4", "functional": "PBE", "state": "relaxed", "magnetic_moment_mub_per_cell": 5.93, "rho_g_cm3": 9.45, "space_group": "No. 2", "cell": [[-2.740, 1.881, -4.293], [2.364, -2.043, -4.199], [-6.485, -2.892, 1.509]], "species": ["Rh", "Rh", "Rh", "Rh", "Rh", "Rh", "Rh", "Rh", "Mn", "Mn", "Mg", "Mg"], "frac_coords": [[0.709, 0.255, 0.480], [0.630, 0.756, 0.199], [0.965, 0.747, 0.848], [0.464, 0.761, 0.861], [0.291, 0.745, 0.520], [0.536, 0.239, 0.139], [0.035, 0.253, 0.152], [0.370, 0.244, 0.801], [0.219, 0.248, 0.472], [0.781, 0.752, 0.528], [0.866, 0.259, 0.818], [0.134, 0.741, 0.182]]}

---

two:
{"formula": "MgMnRh4", "functional": "PBE", "state": "relaxed", "magnetic_moment_mub_per_cell": 4.94, "rho_g_cm3": 8.49, "space_group": "No. 216", "cell": [[0.968, 0.809, 4.983], [-3.888, 0.539, 3.319], [-0.973, -3.693, 3.440]], "species": ["Mg", "Rh", "Rh", "Rh", "Rh", "Mn"], "frac_coords": [[0.250, 0.250, 0.250], [0.125, 0.625, 0.625], [0.625, 0.625, 0.625], [0.625, 0.125, 0.625], [0.625, 0.625, 0.125], [0.000, 0.000, 0.000]]}

---

Q: Which of them is the least stable? A: two.

---

one:
{"formula": "MgMn2Ru2", "functional": "PBE", "state": "relaxed", "magnetic_moment_mub_per_cell": 5.42, "rho_g_cm3": 7.81, "space_group": "No. 127", "cell": [[-4.625, -5.327, -1.780], [5.412, -4.842, 0.429], [-0.557, -0.390, 2.614]], "species": ["Mg", "Mg", "Ru", "Ru", "Ru", "Ru", "Mn", "Mn", "Mn", "Mn"], "frac_coords": [[0.500, 0.500, 0.000], [0.000, 0.000, 0.000], [0.130, 0.370, 0.000], [0.630, 0.130, 0.000], [0.870, 0.630, 0.000], [0.370, 0.870, 0.000], [0.664, 0.836, 0.500], [0.336, 0.164, 0.500], [0.164, 0.664, 0.500], [0.836, 0.336, 0.500]]}

---

two:
{"formula": "MgMn2Ru2", "functional": "PBE", "state": "relaxed", "magnetic_moment_mub_per_cell": 1.46, "rho_g_cm3": 8.04, "space_group": "No. 127", "cell": [[7.181, 0.000, 0.000], [0.000, 7.181, 0.000], [0.000, 0.000, 2.693]], "species": ["Ru", "Ru", "Ru", "Ru", "Mn", "Mn", "Mn", "Mn", "Mg", "Mg"], "frac_coords": [[0.830, 0.330, 0.500], [0.170, 0.670, 0.500], [0.670, 0.830, 0.500], [0.330, 0.170, 0.500], [0.116, 0.384, 0.000], [0.616, 0.116, 0.000], [0.384, 0.884, 0.000], [0.884, 0.616, 0.000], [0.500, 0.500, 0.000], [0.000, 0.000, 0.000]]}

---

Q: Which of them is the least stable? A: one.